{"formula": "Hg2IrBr", "functional": "PBE", "state": "relaxed", "lattice": [[-3.035, -0.837, 1.067], [2.692, 0.004, 1.950], [-1.801, 9.677, 2.468]], "species": ["Ir", "Hg", "Hg", "Br"], "frac_coords": [[0.000, 0.000, 0.508], [0.000, 0.000, 0.012], [0.500, 0.500, 0.285], [0.500, 0.500, 0.695]], "formation_energy_uncorrected_kj_per_mol_atoms": 50, "e_above_lowest_polymorph_ev_per_atom": 0.203}

{"formula": "LiMgSc2", "functional": "PBE", "state": "relaxed", "lattice": [[-2.112, 3.577, 4.346], [1.807, -0.912, 5.660], [1.670, 1.236, -5.641]], "species": ["Li", "Mg", "Sc", "Sc"], "frac_coords": [[0.750, 0.250, 0.500], [0.250, 0.750, 0.500], [0.991, 0.991, 0.000], [0.509, 0.509, 0.000]], "e_form_ev_per_fu": 0.43}

{"formula": "Ca2AcTbAu4", "functional": "PBE", "state": "relaxed", "lattice": [[-2.961, 1.197, -4.085], [-5.134, -0.688, 0.229], [-3.651, 8.307, 1.790]], "species": ["Ca", "Ca", "Ac", "Tb", "Au", "Au", "Au", "Au"], "frac_coords": [[0.754, 0.754, 0.737], [0.246, 0.246, 0.263], [0.000, 0.000, 0.000], [0.500, 0.500, 0.500], [0.385, 0.385, 0.846], [0.872, 0.872, 0.384], [0.128, 0.128, 0.616], [0.615, 0.615, 0.154]], "e_form_ev_per_fu": -6.43}

{"formula": "TlCuHg2S4", "functional": "PBE", "state": "relaxed", "lattice": [[-3.924, 5.494, 0.476], [-1.694, -0.608, -6.953], [-6.419, -4.755, 1.979]], "species": ["Tl", "Tl", "Cu", "Cu", "Hg", "Hg", "Hg", "Hg", "S", "S", "S", "S", "S", "S", "S", "S"], "frac_coords": [[0.000, 0.163, 0.500], [0.500, 0.837, 0.000], [0.498, 0.833, 0.500], [0.998, 0.167, 0.000], [0.500, 0.332, 0.250], [0.500, 0.332, 0.750], [0.000, 0.668, 0.750], [0.000, 0.668, 0.250], [0.341, 0.168, 0.000], [0.841, 0.832, 0.500], [0.387, 0.136, 0.500], [0.887, 0.864, 0.000], [0.387, 0.677, 0.728], [0.887, 0.323, 0.228], [0.887, 0.323, 0.772], [0.387, 0.677, 0.272]], "formation_energy_uncorrected_kj_per_mol_atoms": -17}

{"formula": "HgSbCI2", "functional": "PBE", "state": "relaxed", "lattice": [[-3.607, -3.840, 0.863], [3.904, -3.343, 1.443], [-0.441, 1.425, 4.496]], "species": ["I", "I", "Sb", "C", "Hg"], "frac_coords": [[0.000, 0.500, 0.000], [0.500, 0.000, 0.000], [0.000, 0.000, 0.500], [0.000, 0.000, 0.000], [0.500, 0.500, 0.500]], "formation_energy_uncorrected_kj_per_mol_atoms": 99, "e_above_lowest_polymorph_ev_per_atom": 0.000}

{"formula": "Li2Mn2Cu", "functional": "PBE", "state": "relaxed", "lattice": [[-2.634, 1.524, 0.214], [-0.788, -0.971, -2.782], [-5.056, -5.944, 1.833]], "species": ["Mn", "Mn", "Cu", "Li", "Li"], "frac_coords": [[0.750, 0.250, 0.500], [0.250, 0.750, 0.500], [0.000, 0.000, 0.000], [0.400, 0.400, 0.200], [0.600, 0.600, 0.800]], "e_form_ev_per_fu": 2.42, "e_above_lowest_polymorph_ev_per_atom": 0.000}

{"formula": "K2BeOs", "functional": "PBE", "state": "relaxed", "lattice": [[-5.258, 7.050, 5.168], [-5.991, 4.514, 6.914], [2.384, 0.793, 2.152]], "species": ["Be", "K", "K", "Os"], "frac_coords": [[0.750, 0.750, 0.750], [0.110, 0.110, 0.857], [0.390, 0.390, 0.643], [0.250, 0.250, 0.250]], "e_form_ev_per_fu": 2.45}

{"formula": "CsSr3Co", "functional": "PBE", "state": "relaxed", "lattice": [[6.127, 0.000, 0.000], [0.000, 6.127, 0.000], [0.000, 0.000, 6.127]], "species": ["Cs", "Sr", "Sr", "Sr", "Co"], "frac_coords": [[0.500, 0.500, 0.500], [0.000, 0.500, 0.000], [0.000, 0.000, 0.500], [0.500, 0.000, 0.000], [0.000, 0.000, 0.000]], "e_form_ev_per_fu": 1.61, "e_above_lowest_polymorph_ev_per_atom": 0.000}

{"formula": "HfNbVCr", "functional": "PBE", "state": "relaxed", "lattice": [[-0.016, -2.506, 3.766], [3.901, -1.045, 2.038], [1.051, 1.885, 3.975]], "species": ["Cr", "Nb", "Hf", "V"], "frac_coords": [[0.500, 0.500, 0.500], [0.750, 0.750, 0.750], [0.250, 0.250, 0.250], [0.000, 0.000, 0.000]], "e_form_ev_per_fu": 0.52}

{"formula": "LuScW4", "functional": "PBE", "state": "relaxed", "lattice": [[5.450, 0.000, 0.000], [2.725, 4.720, 0.000], [2.725, 1.573, 4.450]], "species": ["Sc", "Lu", "W", "W", "W", "W"], "frac_coords": [[0.250, 0.250, 0.250], [0.000, 0.000, 0.000], [0.625, 0.625, 0.125], [0.625, 0.125, 0.625], [0.625, 0.625, 0.625], [0.125, 0.625, 0.625]], "e_form_ev_per_fu": 0.34}

{"formula": "LiCd2Pd2", "functional": "PBE", "state": "relaxed", "lattice": [[-3.300, 5.817, -4.070], [-6.907, -1.591, 3.326], [0.645, 1.960, 2.277]], "species": ["Li", "Li", "Pd", "Pd", "Pd", "Pd", "Cd", "Cd", "Cd", "Cd"], "frac_coords": [[0.000, 0.000, 0.000], [0.500, 0.500, 0.000], [0.368, 0.868, 0.000], [0.868, 0.632, 0.000], [0.632, 0.132, 0.000], [0.132, 0.368, 0.000], [0.165, 0.665, 0.500], [0.665, 0.835, 0.500], [0.835, 0.335, 0.500], [0.335, 0.165, 0.500]], "e_form_ev_per_fu": -1.78, "e_above_lowest_polymorph_ev_per_atom": 0.000}

{"formula": "CoAgMo2", "functional": "PBE", "state": "relaxed", "lattice": [[-2.536, -0.221, -2.763], [-2.171, -2.244, 2.172], [-1.939, 3.339, 1.512]], "species": ["Ag", "Co", "Mo", "Mo"], "frac_coords": [[0.500, 0.000, 0.500], [0.000, 0.500, 0.500], [0.000, 0.000, 0.000], [0.500, 0.500, 0.000]], "e_form_ev_per_fu": 1.69, "e_above_lowest_polymorph_ev_per_atom": 0.134}

Please write out number 6 again, unchanged.
{"formula": "Li2Mn2Cu", "functional": "PBE", "state": "relaxed", "lattice": [[-2.634, 1.524, 0.214], [-0.788, -0.971, -2.782], [-5.056, -5.944, 1.833]], "species": ["Mn", "Mn", "Cu", "Li", "Li"], "frac_coords": [[0.750, 0.250, 0.500], [0.250, 0.750, 0.500], [0.000, 0.000, 0.000], [0.400, 0.400, 0.200], [0.600, 0.600, 0.800]], "e_form_ev_per_fu": 2.42, "e_above_lowest_polymorph_ev_per_atom": 0.000}